Record 1
VASP calculation (meta-GGA SCAN) on a crystal of Tl3WO relaxed with PBEsol.

```
5
Lattice="5.3147 0.0000 0.0000 0.0000 5.3147 0.0000 0.0000 0.0000 5.3147" Properties=species:S:1:pos:R:3 pbc="T T T"
Tl 0.0000 2.6573 0.0000
Tl 0.0000 0.0000 2.6573
Tl 2.6573 0.0000 0.0000
O 2.6573 2.6573 2.6573
W 0.0000 0.0000 0.0000
```

Output
- Density: 8.99 g cm⁻³
- Total energy: -57.49 eV/atom
- D(E_F): 5.38 states/eV per cell
- Formation energy from raw total energies: 25.6 kcal/mol of atoms

Record 2
VASP calculation (meta-GGA SCAN) on a crystal of TlW3O9 relaxed with PBEsol.

```
13
Lattice="3.8157 0.0000 0.0000 0.0000 7.4205 0.0000 0.0000 -3.7103 6.4264" Properties=species:S:1:pos:R:3 pbc="T T T"
Tl 0.7071 0.0000 0.0000
W 1.8798 3.7103 0.0000
W 1.8798 1.8551 3.2132
W 1.8798 -1.8551 3.2132
O 3.7810 3.7103 0.0000
O 1.8683 -1.3562 5.0673
O 1.8683 1.3562 5.0673
O 1.8683 0.0000 2.7182
O 3.7810 1.8551 3.2132
O 1.8683 3.7103 3.7082
O 3.7810 -1.8551 3.2132
O 1.8683 2.3540 1.3591
O 1.8683 5.0665 1.3591
```

Output
- Density: 8.21 g cm⁻³
- Total energy: -28.08 eV/atom
- D(E_F): 1.60 states/eV per cell
- Formation energy from raw total energies: -48.8 kcal/mol of atoms

Record 3
VASP calculation (meta-GGA SCAN) on a crystal of TlW6O18 relaxed with PBEsol.

```
25
Lattice="7.4116 0.0000 0.0000 -3.7058 6.4186 0.0000 0.0000 0.0000 7.6145" Properties=species:S:1:pos:R:3 pbc="T T T"
Tl 0.0000 0.0000 3.8073
W 3.7058 0.0000 1.9002
W 1.8529 3.2093 1.9002
W 1.8529 3.2093 5.7143
W -1.8529 3.2093 5.7143
W -1.8529 3.2093 1.9002
W 3.7058 0.0000 5.7143
O -1.3372 5.0511 5.6970
O -1.3372 5.0511 1.9175
O 1.3372 5.0511 1.9175
O 1.3372 5.0511 5.6970
O 0.0000 2.7350 5.6970
O 0.0000 2.7350 1.9175
O 1.8529 3.2093 3.8073
O 1.8529 3.2093 0.0000
O 3.7058 3.6836 5.6970
O 3.7058 3.6836 1.9175
O -1.8529 3.2093 0.0000
O 2.3686 1.3675 1.9175
O 2.3686 1.3675 5.6970
O -1.8529 3.2093 3.8073
O 5.0430 1.3675 5.6970
O 5.0430 1.3675 1.9175
O 3.7058 0.0000 3.8073
O 3.7058 0.0000 0.0000
```

Output
- Density: 7.31 g cm⁻³
- Total energy: -26.28 eV/atom
- D(E_F): 2.50 states/eV per cell
- Formation energy from raw total energies: -50.0 kcal/mol of atoms

Record 4
VASP calculation (meta-GGA SCAN) on a crystal of YTlW2O8 relaxed with PBEsol.

```
24
Lattice="-2.5604 1.8054 6.7599 0.7096 -5.0660 5.4535 7.4007 0.1182 -1.0602" Properties=species:S:1:pos:R:3 pbc="T T T"
Y -0.0726 0.2269 6.0708
Y 5.6225 -3.3693 5.0824
Tl 4.4953 -2.5599 8.5452
Tl 1.0545 -0.5825 2.6080
W 0.7416 -2.0936 8.6755
W 4.8083 -1.0488 2.4777
W 3.4848 -0.1197 5.8342
W 2.0651 -3.0227 5.3190
O 1.9309 -2.8130 7.4947
O 3.6190 -0.3294 3.6585
O 3.4826 -0.1245 7.6580
O 2.0673 -3.0179 3.4952
O 2.3798 1.3257 5.6191
O 3.1701 -4.4681 5.5341
O -0.6790 -1.9982 7.5225
O 6.2289 -1.1442 3.6307
O 0.8427 -0.0695 8.1309
O 4.7072 -3.0729 3.0223
O 1.6682 -1.0972 5.4495
O 3.8817 -2.0452 5.7037
O 0.4779 -3.5825 9.6498
O 5.0720 0.4401 1.5034
O 5.1563 0.5104 5.6225
O 0.3935 -3.6528 5.5307
```

Output
- Density: 8.29 g cm⁻³
- Total energy: -26.67 eV/atom
- D(E_F): 0.00 states/eV per cell
- Formation energy from raw total energies: -58.9 kcal/mol of atoms

Record 5
VASP calculation (meta-GGA SCAN) on a crystal of YTlO2 relaxed with PBEsol.

```
4
Lattice="-0.2751 3.3965 0.5586 -0.7616 1.1744 3.1567 5.8637 1.7968 2.6349" Properties=species:S:1:pos:R:3 pbc="T T T"
Y 2.4136 3.1839 3.1751
Tl 0.0000 0.0000 0.0000
O 3.1454 4.7549 4.6558
O 1.6817 1.6128 1.6943
```

Output
- Density: 8.21 g cm⁻³
- Total energy: -30.77 eV/atom
- D(E_F): 0.00 states/eV per cell
- Formation energy from raw total energies: -60.0 kcal/mol of atoms

Record 6
VASP calculation (meta-GGA SCAN) on a crystal of YTlO3 relaxed with PBEsol.

```
5
Lattice="-3.0559 2.8755 0.4322 -2.7967 -3.0782 0.7050 0.7960 0.2242 4.1364" Properties=species:S:1:pos:R:3 pbc="T T T"
O -1.0004 -1.4270 2.4207
O -1.1300 1.5498 2.2843
O -2.9263 -0.1014 0.5686
Tl -2.5283 0.0108 2.6368
Y 0.0000 0.0000 0.0000
```

Output
- Density: 7.55 g cm⁻³
- Total energy: -25.15 eV/atom
- D(E_F): 0.35 states/eV per cell
- Formation energy from raw total energies: -31.7 kcal/mol of atoms

Record 7
VASP calculation (meta-GGA SCAN) on a crystal of YTlO3 relaxed with PBEsol.

```
5
Lattice="4.3801 0.0000 0.0000 0.0000 4.3801 0.0000 0.0000 0.0000 4.3801" Properties=species:S:1:pos:R:3 pbc="T T T"
O 0.0000 2.1901 2.1901
O 2.1901 0.0000 2.1901
O 2.1901 2.1901 0.0000
Tl 0.0000 0.0000 0.0000
Y 2.1901 2.1901 2.1901
```

Output
- Density: 6.74 g cm⁻³
- Total energy: -25.45 eV/atom
- D(E_F): 4.86 states/eV per cell
- Formation energy from raw total energies: -38.4 kcal/mol of atoms

Record 8
VASP calculation (meta-GGA SCAN) on a crystal of TmVO4 relaxed with PBEsol.

```
12
Lattice="5.8473 -0.0123 0.0000 -2.5679 5.2533 0.0000 -1.6397 -2.6205 4.9634" Properties=species:S:1:pos:R:3 pbc="T T T"
Tm -1.2839 2.6267 2.4817
Tm 0.0000 0.0000 0.0000
V 1.6397 2.6205 0.0000
V 2.9237 -0.0062 2.4817
O 2.7187 1.4139 3.4087
O 3.0064 3.0571 0.9270
O -0.2049 1.4200 4.0364
O 4.2904 0.4305 1.5547
O 1.5570 -0.4428 1.5547
O 0.2049 -1.4200 4.0364
O 0.2730 2.1839 0.9270
O 3.1286 -1.4262 3.4087
```

Output
- Density: 6.19 g cm⁻³
- Total energy: -19.04 eV/atom
- D(E_F): 0.00 states/eV per cell
- Formation energy from raw total energies: -76.9 kcal/mol of atoms

Record 9
VASP calculation (meta-GGA SCAN) on a crystal of Tm6WO12 relaxed with PBEsol.

```
19
Lattice="6.3055 -0.0004 -0.0005 -0.9557 6.2326 -0.0005 -0.9557 -1.1133 6.1324" Properties=species:S:1:pos:R:3 pbc="T T T"
Tm 0.9726 3.3013 5.2494
Tm 1.2783 0.2147 3.7560
Tm 0.0186 3.4642 1.9459
Tm 4.3755 1.6546 4.1855
Tm 3.1158 4.9041 2.3753
Tm 3.4214 1.8176 0.8819
W 0.0000 0.0000 0.0000
O -1.3276 3.3347 5.6508
O 0.8967 -0.5852 5.9165
O 0.1434 2.0281 3.6125
O 2.4111 1.6446 5.0446
O -0.7143 5.6790 1.8413
O 1.2603 4.4935 3.4909
O 3.1338 0.6253 2.6405
O 5.1084 -0.5602 4.2900
O 1.9829 3.4743 1.0867
O 4.2507 3.0908 2.5188
O 3.4973 5.7041 0.2148
O 5.7217 1.7842 0.4806
```

Output
- Density: 9.57 g cm⁻³
- Total energy: -27.70 eV/atom
- D(E_F): 0.00 states/eV per cell
- Formation energy from raw total energies: -85.9 kcal/mol of atoms

Record 10
VASP calculation (meta-GGA SCAN) on a crystal of YTmO3 relaxed with PBEsol.

```
40
Lattice="-8.9573 1.2378 -0.2292 1.8651 -8.7700 -1.2015 -3.8823 -4.8373 6.5851" Properties=species:S:1:pos:R:3 pbc="T T T"
Y -7.7658 -11.4629 3.5614
Y -3.8917 -7.3629 0.8496
Y -7.0856 -5.0047 4.3087
Y -0.8202 -6.9326 2.4365
Y -3.6998 -4.9622 6.3377
Y -3.2177 -0.9204 1.6011
Y -4.2175 -7.7101 4.2851
Y -6.7544 -4.6412 0.8699
Tm -6.0211 -1.0267 -0.4201
Tm -4.4888 -10.8464 5.6705
Tm -3.9464 -4.5381 2.8848
Tm -3.7331 -3.6381 -0.4619
Tm -4.7470 -10.4382 2.2370
Tm -0.6724 -3.2050 1.1255
Tm -10.3046 -9.1627 4.0323
Tm -7.4959 -8.3257 2.1778
O -2.9818 -6.5274 2.7986
O -9.3892 -4.8865 4.2479
O -8.7687 -1.7215 2.9108
O -7.6500 -6.2692 6.0568
O -4.9760 -5.6140 4.6249
O -8.9326 -4.0466 0.9361
O -5.4807 -0.8713 1.7226
O -5.9814 -3.6709 2.7670
O -12.0980 -5.9799 5.9915
O -7.5135 -6.1312 2.4047
O -2.8900 -3.6434 4.6004
O -1.6946 -7.4469 0.3567
O -2.8362 -3.1500 1.5909
O -5.9729 -3.2074 -0.6954
O -5.3065 -8.2322 2.3722
O -5.5509 -11.7112 3.9489
O -7.5235 -5.6171 -1.0215
O 0.9065 -9.7340 0.2726
O -3.4411 -9.8028 3.9172
O -4.5790 -5.2419 0.7971
O -4.7312 -7.6227 -1.1875
O -0.7936 -9.1770 2.5272
O -5.4740 -8.8650 5.7726
O -8.0116 -9.2801 4.1091
```

Output
- Density: 7.13 g cm⁻³
- Total energy: -23.65 eV/atom
- D(E_F): 0.00 states/eV per cell
- Formation energy from raw total energies: -91.8 kcal/mol of atoms

Record 11
VASP calculation (meta-GGA SCAN) on a crystal of Y15TmO24 relaxed with PBEsol.

```
40
Lattice="-3.0599 -4.0806 7.5535 3.8748 -6.2039 -5.4481 6.9699 -3.9511 4.3582" Properties=species:S:1:pos:R:3 pbc="T T T"
Y 3.3278 -10.2500 1.3088
Y 6.2976 -4.4404 2.2282
Y 7.2508 -11.6651 6.0355
Y 0.5306 -2.5729 0.4175
Y 5.4635 -6.3235 8.2051
Y 8.9275 -7.3948 1.7023
Y 8.3342 -10.1877 -0.2856
Y 1.0803 -4.6525 3.1845
Y 2.9072 -5.1168 0.2506
Y 4.7493 -5.5673 -2.6772
Y 4.8736 -9.1217 6.2003
Y 3.8695 -6.7851 3.1639
Y 4.2774 -11.9198 4.2095
Y 2.4838 -6.5787 6.3823
Y 5.3035 -7.6551 0.0893
Tm 6.5001 -9.7318 2.6314
O 6.3950 -10.1317 7.5434
O -1.8681 -5.7149 5.9619
O 1.1817 -5.2383 7.6027
O 5.5734 -5.6347 4.0761
O 6.3617 -7.4348 6.4665
O 0.7301 -7.9440 6.1339
O 2.2574 -3.4724 1.6692
O 4.9067 -2.9511 3.1887
O 3.0996 -4.9112 -4.0347
O 3.7796 -7.8374 7.7229
O 7.9712 -8.3776 3.5748
O 0.3779 -3.3075 4.8259
O 4.8077 -5.8140 1.2833
O 2.7296 -5.3083 4.5432
O 5.9705 -10.4009 4.6710
O 2.3930 -10.9928 3.2357
O 3.5773 -6.7495 -1.1696
O 7.8767 -11.2019 1.6976
O 2.0344 -6.3558 1.9341
O 6.4462 -6.7345 -1.5984
O 1.6037 -9.0433 0.4618
O 7.2177 -8.5499 0.8081
O 3.3359 -8.1205 4.8718
O 4.6650 -8.5955 2.1125
```

Output
- Density: 5.37 g cm⁻³
- Total energy: -19.42 eV/atom
- D(E_F): 0.00 states/eV per cell
- Formation energy from raw total energies: -91.0 kcal/mol of atoms

Record 12
VASP calculation (meta-GGA SCAN) on a crystal of Y5Tm11O24 relaxed with PBEsol.

```
40
Lattice="-7.6071 0.3454 -4.8179 2.4441 -8.6036 1.1455 -6.5289 -4.4270 4.3684" Properties=species:S:1:pos:R:3 pbc="T T T"
Y -6.1173 -5.1438 -1.9472
Y 2.1586 -8.4707 1.2480
Y -5.5729 -7.5466 2.6452
Y -10.5930 -3.0560 -0.3423
Y -1.0954 -9.6262 1.0343
Tm -6.9697 -8.1346 -0.4449
Tm -0.2429 -6.6355 -0.4680
Tm -3.5666 -7.5410 -0.1537
Tm -10.6302 -9.5777 -0.3862
Tm -8.8169 -8.6926 2.4268
Tm -2.3353 -6.3789 2.8622
Tm -1.0558 -3.1101 1.0801
Tm -8.1272 -5.1432 0.8503
Tm -11.7855 -6.5918 0.9245
Tm -4.3829 -4.0096 1.3793
Tm -6.7764 -2.1765 -0.3295
O -2.2545 -6.4454 -1.5399
O -5.2161 -7.1736 -1.5531
O -6.1849 -4.3345 0.1620
O -6.9866 -9.3120 -2.3051
O -4.1643 -6.1961 1.4981
O -8.5304 -9.4868 0.3059
O -8.4364 -4.5989 2.9533
O -7.5071 -7.1382 1.5426
O -1.6327 -7.4274 1.0624
O -5.2486 -8.7830 0.7860
O -12.5941 -3.2034 -1.3686
O -4.3166 -4.0426 -2.7598
O -5.8961 -6.3174 4.5064
O -6.1434 -11.5076 1.8257
O -2.9920 -3.2168 -0.1420
O -7.9146 -6.2559 -1.1367
O -3.6364 -7.9302 3.7486
O -2.7432 -10.4747 2.3215
O -10.2301 -5.2312 0.1685
O -6.9961 -8.8794 3.7907
O -5.2582 -1.0004 -1.5787
O 1.5565 -6.2877 0.7520
O -9.9751 -3.8614 -2.3631
O -7.0187 -3.1088 -2.3187
```

Output
- Density: 7.91 g cm⁻³
- Total energy: -25.47 eV/atom
- D(E_F): 0.00 states/eV per cell
- Formation energy from raw total energies: -92.2 kcal/mol of atoms

Q: Among the records above, which one has the lowest density?
A: Y15TmO24